Record 1
First-principles (GGA-PBE) data for an optimized crystal structure of NaSrBr, as listed in Alexandria.

Cell: 7.8064 7.8064 6.7693 Å, 90.00 90.00 147.12°
Fractional coordinates of all 6 atoms:
Na  0.1008  0.8992  0.5000
Na  0.8992  0.1008  0.0000
Sr  0.3954  0.6046  0.5033
Sr  0.6046  0.3954  0.0033
Br  0.2410  0.7590  0.8406
Br  0.7590  0.2410  0.3406

Results
**Volume**: 223.97 Å³/cell
**SG**: Cmc2_1 (36)
**Raw formation energy**: -0.953 eV/atom
**Magnetization**: 0.00 μB per formula unit
**DOS(E_F)**: 2.58 states/eV/cell
**Energy above the most stable polymorph in this dataset**: 0.0100 eV per atom

---

Record 2
First-principles (GGA-PBE) data for an optimized crystal structure of NaSrBr, as listed in Alexandria.

Cell: 4.3033 4.3033 7.2891 Å, 90.00 90.00 120.00°
Fractional coordinates of all 3 atoms:
Na  0.0000  0.0000  0.0000
Sr  0.6667  0.3333  0.4162
Br  0.3333  0.6667  0.7006

Results
**Volume**: 116.90 Å³/cell
**SG**: P3m1 (156)
**Raw formation energy**: -0.948 eV/atom
**Magnetization**: 0.00 μB per formula unit
**DOS(E_F)**: 1.28 states/eV/cell
**Energy above the most stable polymorph in this dataset**: 0.0149 eV per atom